No. 1
DFT (PBE) results for crystalline UIn2I7 at its relaxed geometry.

```
20
Lattice="9.9376 -4.7106 0.0000 9.9376 4.7106 0.0000 -9.1591 0.0000 11.2532" Properties=species:S:1:pos:R:3 pbc="T T T"
U 3.0683 2.9685 8.4399
U 7.6478 -2.9685 2.8133
In -0.5625 2.3105 10.8561
In 6.6991 2.3105 6.0236
In 4.0170 -2.3105 5.2295
In 11.2786 -2.3105 0.3971
I 0.5455 1.2436 3.5743
I 3.6572 3.4561 5.5193
I 7.6478 3.4426 2.8133
I 11.6384 3.4561 0.1073
I -4.0340 -1.2436 9.2009
I 1.4962 0.3278 9.3269
I 6.0758 -0.3278 3.7003
I 4.6403 0.3278 7.5528
I 9.2199 -0.3278 1.9262
I 14.7501 1.2436 2.0522
I -0.9223 -3.4561 11.1459
I 3.0683 -3.4426 8.4399
I 7.0588 -3.4561 5.7338
I 10.1705 -1.2436 7.6788
```

Computed properties:
ρ: 4.27 g cm⁻³
raw formation energy: -580 meV/atom
density of states at the Fermi level: 4.13 states/eV/cell

No. 2
DFT (PBE) results for crystalline K4TlZn3F12 at its relaxed geometry.

```
20
Lattice="-4.2854 4.2854 4.2854 4.2854 -4.2854 4.2854 4.2854 4.2854 -4.2854" Properties=species:S:1:pos:R:3 pbc="T T T"
K 2.1427 2.1427 -2.1427
K 2.1427 -2.1427 2.1427
K -2.1427 2.1427 2.1427
K 2.1427 2.1427 2.1427
Tl 0.0000 0.0000 0.0000
Zn 4.2854 0.0000 0.0000
Zn 0.0000 4.2854 0.0000
Zn 0.0000 0.0000 4.2854
F 2.3226 0.0000 0.0000
F 6.2482 0.0000 0.0000
F 4.2854 2.1427 0.0000
F 4.2854 0.0000 2.1427
F 0.0000 2.3226 0.0000
F 0.0000 0.0000 2.3226
F 2.1427 4.2854 0.0000
F 2.1427 0.0000 4.2854
F 0.0000 6.2482 0.0000
F 0.0000 0.0000 6.2482
F 0.0000 4.2854 2.1427
F 0.0000 2.1427 4.2854
```

Computed properties:
ρ: 4.14 g cm⁻³
raw formation energy: -2424 meV/atom
density of states at the Fermi level: 4.38 states/eV/cell

No. 3
DFT (PBE) results for crystalline Tl8GaBi2 at its relaxed geometry.

```
11
Lattice="5.8310 -4.8263 0.0000 5.8310 4.8263 0.0000 -3.8551 0.0000 6.7023" Properties=species:S:1:pos:R:3 pbc="T T T"
Tl 2.5201 2.5058 2.2804
Tl -0.2191 0.0000 1.9278
Tl 1.6726 0.0000 5.1356
Tl 5.2868 2.5058 4.4218
Tl 2.5201 -2.5058 2.2804
Tl 6.1343 0.0000 1.5667
Tl 8.0260 0.0000 4.7744
Tl 5.2868 -2.5058 4.4218
Ga 3.9034 0.0000 3.3511
Bi 2.6814 0.0000 0.2237
Bi 5.1255 0.0000 6.4785
```

Computed properties:
ρ: 9.34 g cm⁻³
density of states at the Fermi level: 3.73 states/eV/cell
DFT formation energy: 0.086 eV/atom

No. 4
DFT (PBE) results for crystalline Ac3Ga2AgO9 at its relaxed geometry.

```
15
Lattice="5.7109 0.0000 0.0000 -2.8555 4.9458 0.0000 0.0000 0.0000 7.0255" Properties=species:S:1:pos:R:3 pbc="T T T"
Ac 0.0000 0.0000 0.0000
Ac 0.0000 3.2972 4.6355
Ac 2.8555 1.6486 2.3900
Ga 0.0000 3.2972 1.0879
Ga 2.8555 1.6486 5.9376
Ag 0.0000 0.0000 3.5127
O -1.4277 2.4729 0.0000
O 0.0000 1.7313 2.2875
O -1.3561 4.0802 2.2875
O 1.4993 0.8656 4.7380
O 2.8555 0.0000 0.0000
O 1.4277 2.4729 0.0000
O 1.3561 4.0802 2.2875
O 4.2116 0.8656 4.7380
O 2.8555 3.2145 4.7380
```

Computed properties:
ρ: 8.97 g cm⁻³
raw formation energy: -2247 meV/atom
density of states at the Fermi level: 2.66 states/eV/cell

No. 5
DFT (PBE) results for crystalline LaPrCu4 at its relaxed geometry.

```
6
Lattice="0.0000 3.8253 3.8253 3.8253 0.0000 3.8253 3.8253 3.8253 0.0000" Properties=species:S:1:pos:R:3 pbc="T T T"
La 0.0000 0.0000 0.0000
Pr 5.7380 5.7380 5.7380
Cu 2.8722 2.8722 2.8722
Cu 4.7785 4.7785 2.8722
Cu 4.7785 2.8722 4.7785
Cu 2.8722 4.7785 4.7785
```

Computed properties:
ρ: 7.92 g cm⁻³
relative energy among the computed polymorphs: 136.7 meV per atom
density of states at the Fermi level: 5.63 states/eV/cell
DFT formation energy: -0.060 eV/atom

No. 6
DFT (PBE) results for crystalline SbTe2SeS at its relaxed geometry.

```
5
Lattice="5.1886 0.0000 0.0000 0.0000 5.1886 0.0000 0.0000 0.0000 5.3592" Properties=species:S:1:pos:R:3 pbc="T T T"
Sb 0.0000 0.0000 0.0000
Te 0.0000 2.5943 2.6796
Te 2.5943 0.0000 2.6796
Se 2.5943 2.5943 0.0000
S 0.0000 0.0000 2.6796
```

Computed properties:
ρ: 5.62 g cm⁻³
raw formation energy: 651 meV/atom
relative energy among the computed polymorphs: 0.0 meV per atom
density of states at the Fermi level: 5.91 states/eV/cell

No. 7
DFT (PBE) results for crystalline Sc2CoMo at its relaxed geometry.

```
4
Lattice="3.3139 0.0000 0.0000 0.0000 4.1981 0.0000 0.0000 0.0000 4.8563" Properties=species:S:1:pos:R:3 pbc="T T T"
Sc 0.0000 0.0000 0.0000
Sc 1.6570 0.0000 2.4281
Co 0.0000 2.0990 2.4281
Mo 1.6570 2.0990 0.0000
```

Computed properties:
ρ: 6.02 g cm⁻³
density of states at the Fermi level: 4.27 states/eV/cell
DFT formation energy: 0.177 eV/atom

No. 8
DFT (PBE) results for crystalline ZnOsCl2 at its relaxed geometry.

```
4
Lattice="2.8902 -4.2722 0.0000 2.8902 4.2722 0.0000 -1.3280 0.0000 2.7723" Properties=species:S:1:pos:R:3 pbc="T T T"
Zn 0.0000 0.0000 0.0000
Os 2.8902 0.0000 0.0000
Cl 1.4451 2.1361 0.0000
Cl 1.4451 -2.1361 0.0000
```

Computed properties:
ρ: 7.92 g cm⁻³
raw formation energy: 725 meV/atom
relative energy among the computed polymorphs: 734.3 meV per atom
density of states at the Fermi level: 2.96 states/eV/cell

No. 9
DFT (PBE) results for crystalline AlP2SF at its relaxed geometry.

```
5
Lattice="4.6272 0.0000 0.0000 0.0000 4.6272 0.0000 0.0000 0.0000 4.4622" Properties=species:S:1:pos:R:3 pbc="T T T"
Al 0.0000 0.0000 0.0000
P 0.0000 2.3136 0.0000
P 2.3136 0.0000 0.0000
S 0.0000 0.0000 2.2311
F 2.3136 2.3136 2.2311
```

Computed properties:
ρ: 2.43 g cm⁻³
raw formation energy: 396 meV/atom
relative energy among the computed polymorphs: 0.0 meV per atom
density of states at the Fermi level: 3.02 states/eV/cell

No. 10
DFT (PBE) results for crystalline SrMgW2 at its relaxed geometry.

```
4
Lattice="4.5955 -1.4135 0.0000 4.5955 1.4135 0.0000 -0.3230 0.0000 6.8214" Properties=species:S:1:pos:R:3 pbc="T T T"
Sr 0.0000 0.0000 0.0000
Mg 6.8657 0.0000 2.2286
W 2.0217 0.0000 4.7447
W 4.3629 0.0000 3.6740
```

Computed properties:
ρ: 8.99 g cm⁻³
density of states at the Fermi level: 3.40 states/eV/cell
DFT formation energy: 0.817 eV/atom

No. 11
DFT (PBE) results for crystalline MnTcTeAs2 at its relaxed geometry.

```
5
Lattice="4.6277 0.0000 0.0000 0.0000 4.6277 0.0000 0.0000 0.0000 5.7322" Properties=species:S:1:pos:R:3 pbc="T T T"
Mn 0.0000 0.0000 0.0000
Tc 2.3138 2.3138 2.8661
Te 2.3138 2.3138 0.0000
As 0.0000 2.3138 2.8661
As 2.3138 0.0000 2.8661
```

Computed properties:
ρ: 5.82 g cm⁻³
raw formation energy: 1143 meV/atom
density of states at the Fermi level: 10.84 states/eV/cell

No. 12
DFT (PBE) results for crystalline Ca2CeHoP4 at its relaxed geometry.

```
8
Lattice="7.0688 0.0000 0.0000 0.0000 4.1051 0.0000 -2.3839 0.0000 6.6694" Properties=species:S:1:pos:R:3 pbc="T T T"
Ca 0.0000 0.0000 0.0000
Ca -1.1919 2.0525 3.3347
Ce 2.3425 0.0000 3.3347
Ho 3.5344 2.0525 0.0000
P 0.0776 0.0000 5.0412
P 1.2772 2.0525 1.7018
P 3.4078 2.0525 4.9676
P 4.6074 0.0000 1.6282
```

Computed properties:
ρ: 4.37 g cm⁻³
density of states at the Fermi level: 8.08 states/eV/cell
DFT formation energy: -1.248 eV/atom

No. 13
DFT (PBE) results for crystalline MgIrW2 at its relaxed geometry.

```
4
Lattice="2.7853 0.0000 0.0000 0.0000 4.0193 0.0000 0.0000 0.0000 5.6735" Properties=species:S:1:pos:R:3 pbc="T T T"
Mg 0.0000 0.0000 0.0000
Ir 1.3926 2.0097 4.4118
W 0.0000 0.0000 2.9069
W 1.3926 2.0097 1.5008
```

Computed properties:
ρ: 15.27 g cm⁻³
density of states at the Fermi level: 2.35 states/eV/cell
DFT formation energy: 0.160 eV/atom

No. 14
DFT (PBE) results for crystalline LaCuF3 at its relaxed geometry.

```
5
Lattice="4.1933 0.0000 0.0000 0.0000 4.1933 0.0000 0.0000 0.0000 4.1933" Properties=species:S:1:pos:R:3 pbc="T T T"
La 0.0000 0.0000 0.0000
Cu 2.0967 2.0967 2.0967
F 0.0000 2.0967 2.0967
F 2.0967 0.0000 2.0967
F 2.0967 2.0967 0.0000
```

Computed properties:
ρ: 5.84 g cm⁻³
raw formation energy: -2106 meV/atom
relative energy among the computed polymorphs: 499.1 meV per atom
density of states at the Fermi level: 4.39 states/eV/cell

No. 15
DFT (PBE) results for crystalline La2MnGe3Pd4 at its relaxed geometry.

```
10
Lattice="4.3856 0.0000 0.0000 0.0000 4.3856 0.0000 0.0000 0.0000 10.2787" Properties=species:S:1:pos:R:3 pbc="T T T"
La 0.0000 2.1928 2.5562
La 2.1928 0.0000 7.7225
Mn 2.1928 2.1928 0.0000
Ge 0.0000 0.0000 0.0000
Ge 0.0000 2.1928 6.4400
Ge 2.1928 0.0000 3.8388
Pd 0.0000 0.0000 5.1394
Pd 0.0000 2.1928 8.9181
Pd 2.1928 0.0000 1.3606
Pd 2.1928 2.1928 5.1394
```

Computed properties:
ρ: 8.20 g cm⁻³
density of states at the Fermi level: 6.58 states/eV/cell
DFT formation energy: -0.743 eV/atom

No. 16
DFT (PBE) results for crystalline Tb3Er6Tm2Zr at its relaxed geometry.

```
12
Lattice="3.0219 -5.2250 0.0000 3.0219 5.2250 0.0000 -2.0019 0.0000 11.3625" Properties=species:S:1:pos:R:3 pbc="T T T"
Tb 0.0000 0.0000 0.0000
Tb 3.0219 1.7406 0.0000
Tb 3.0219 -1.7406 0.0000
Er 1.0313 1.7087 2.9150
Er 0.0488 0.0000 8.4421
Er 1.0313 -1.7087 2.9150
Er 3.0106 1.7087 8.4476
Er 3.9931 0.0000 2.9204
Er 3.0106 -1.7087 8.4476
Tm 2.0210 3.4811 5.6813
Tm 2.0210 -3.4811 5.6813
Zr 2.0210 0.0000 5.6813
```

Computed properties:
ρ: 8.84 g cm⁻³
density of states at the Fermi level: 15.18 states/eV/cell
DFT formation energy: 0.040 eV/atom

No. 17
DFT (PBE) results for crystalline La2Ga9Co3 at its relaxed geometry.

```
28
Lattice="6.5330 -3.7516 0.0000 6.5330 3.7516 0.0000 -4.4030 0.0000 9.6692" Properties=species:S:1:pos:R:3 pbc="T T T"
La 1.0946 0.6249 2.4198
La -1.1069 -0.6249 7.2544
La 9.7698 0.6249 2.4148
La 7.5684 -0.6249 7.2494
Ga 5.4324 3.1004 0.6680
Ga 5.4321 3.1004 4.1666
Ga 1.1038 0.6046 5.4998
Ga 4.0705 1.3942 2.4333
Ga 1.0586 0.6253 9.1777
Ga 3.3053 -0.6046 0.6652
Ga 3.2307 0.9542 7.2519
Ga 6.7939 1.3942 2.4013
Ga 3.2601 -0.6253 4.3431
Ga 5.4029 0.6253 5.3261
Ga 1.8691 -1.3942 7.2679
Ga 5.4322 -0.9542 2.4173
Ga 5.3577 0.6046 9.0039
Ga 7.6044 -0.6253 0.4915
Ga 4.5924 -1.3942 7.2359
Ga 7.5592 -0.6046 4.1693
Ga 3.2309 -3.1004 5.5025
Ga 3.2306 -3.1004 9.0012
Co 3.2665 1.8758 0.0000
Co 3.2328 1.9059 4.8246
Co 7.6317 1.9059 0.0100
Co 1.0650 -1.8758 4.8346
Co 1.0313 -1.9059 9.6592
Co 5.4302 -1.9059 4.8446
```

Computed properties:
ρ: 7.58 g cm⁻³
density of states at the Fermi level: 17.15 states/eV/cell
DFT formation energy: -0.457 eV/atom

No. 18
DFT (PBE) results for crystalline Na3TlRh3O8 at its relaxed geometry.

```
15
Lattice="3.1992 1.8471 5.3404 -3.1992 1.8471 5.3404 0.0000 -3.6941 5.3404" Properties=species:S:1:pos:R:3 pbc="T T T"
Na -1.5996 -0.9235 5.3404
Na -1.5996 0.9235 10.6808
Na 0.0000 1.8471 5.3404
Tl 0.0000 0.0000 8.0106
Rh -3.1992 0.0000 8.0106
Rh -1.5996 0.9235 2.6702
Rh 1.5996 0.9235 2.6702
O -1.7449 -1.0074 9.0824
O 0.0000 0.0000 3.7196
O 0.0000 -2.0149 6.9388
O -1.7449 1.0074 6.9388
O 1.7449 -1.0074 9.0824
O 0.0000 2.0149 9.0824
O 0.0000 0.0000 12.3016
O 1.7449 1.0074 6.9388
```

Computed properties:
ρ: 6.23 g cm⁻³
raw formation energy: -967 meV/atom
density of states at the Fermi level: 7.94 states/eV/cell

No. 19
DFT (PBE) results for crystalline Ag3PbI at its relaxed geometry.

```
5
Lattice="5.4646 0.0000 0.0000 0.0000 5.4646 0.0000 0.0000 0.0000 5.4646" Properties=species:S:1:pos:R:3 pbc="T T T"
Ag 0.0000 0.0000 2.7323
Ag 0.0000 2.7323 0.0000
Ag 2.7323 0.0000 0.0000
Pb 0.0000 0.0000 0.0000
I 2.7323 2.7323 2.7323
```

Computed properties:
ρ: 6.69 g cm⁻³
raw formation energy: 585 meV/atom
relative energy among the computed polymorphs: 0.0 meV per atom
density of states at the Fermi level: 7.53 states/eV/cell

No. 20
DFT (PBE) results for crystalline LaTb3N at its relaxed geometry.

```
5
Lattice="5.0230 0.0000 0.0000 0.0000 5.0230 0.0000 0.0000 0.0000 5.0230" Properties=species:S:1:pos:R:3 pbc="T T T"
La 0.0000 0.0000 0.0000
Tb 0.0000 2.5115 2.5115
Tb 2.5115 0.0000 2.5115
Tb 2.5115 2.5115 0.0000
N 2.5115 2.5115 2.5115
```

Computed properties:
ρ: 8.25 g cm⁻³
raw formation energy: -466 meV/atom
density of states at the Fermi level: 7.47 states/eV/cell